Density functional theory data (PBE) for a geometry-optimized Tm2ScNi2 structure.

Cell and atoms, written as extended XYZ:
```
10
Lattice="5.323 0.000 0.000 0.000 5.205 -2.227 0.000 0.108 7.449" Properties=species:S:1:pos:R:3 pbc="T T T"
Ni 1.331 0.841 5.344
Ni 3.992 2.028 0.924
Ni 3.992 4.472 -0.122
Ni 1.331 3.285 4.299
Tm 3.992 4.136 2.471
Tm 1.331 1.177 2.751
Tm 3.992 2.277 5.322
Tm 1.331 3.036 -0.100
Sc 2.662 0.000 0.000
Sc 0.000 0.000 0.000
```

The value obtained for the total DFT energy (no corrections) is -55.54 eV per cell. For the polymorph energy (0 for the lowest one), the calculation gives 188 meV/atom. Its space group is Cmcm (63).